Entry 1:
InFeH2 after structural relaxation. Source: Alexandria via LeMat-Bulk, functional GGA-PBEsol.

Summary:
Its total DFT energy (no corrections) is -0.1390 hartree per atom. Its magnetic moment is 0.94 μB/cell. As for the density of states at the Fermi level: 1.049 states/eV/atom.

Unit cell a=3.783 b=3.783 c=3.783 alpha=60.00 beta=60.00 gamma=60.00
Fractional positions:
H 0.250 0.250 0.250
H 0.750 0.750 0.750
In 0.500 0.500 0.500
Fe 0.000 0.000 0.000

---

Entry 2:
Fe2HIr after structural relaxation. Source: Alexandria via LeMat-Bulk, functional GGA-PBEsol.

Summary:
Its total DFT energy (no corrections) is -0.2586 hartree per atom. Its magnetic moment is 5.48 μB/cell. As for the density of states at the Fermi level: 1.285 states/eV/atom.

Unit cell a=3.986 b=3.986 c=3.986 alpha=60.00 beta=60.00 gamma=60.00
Fractional positions:
Ir 0.500 0.500 0.500
Fe 0.250 0.250 0.250
H 0.000 0.000 0.000
Fe 0.750 0.750 0.750